The following is a DFT calculation (PBE+U) of crystalline Fe3PO7 at its relaxed geometry.

The structure in CIF format:
```
data_Fe3PO7
_space_group_name_H-M_alt 'P 1'
_space_group_IT_number 1
_space_group_name_Hall 'P 1'
_cell_length_a 5.249
_cell_length_b 5.249
_cell_length_c 5.249
_cell_angle_alpha 101.95
_cell_angle_beta 101.95
_cell_angle_gamma 101.95
loop_
_atom_site_label
_atom_site_type_symbol
_atom_site_fract_x
_atom_site_fract_y
_atom_site_fract_z
_atom_site_occupancy
Fe1 Fe 0.457 0.847 0.457 1
Fe2 Fe 0.457 0.457 0.847 1
Fe3 Fe 0.847 0.457 0.457 1
P1 P 0.999 0.999 0.999 1
O1 O 0.166 0.166 0.853 1
O2 O 0.166 0.853 0.166 1
O3 O 0.853 0.166 0.166 1
O4 O 0.609 0.609 0.231 1
O5 O 0.769 0.769 0.769 1
O6 O 0.609 0.231 0.609 1
O7 O 0.231 0.609 0.609 1
```

Summary:
Total DFT energy (no corrections) in eV/cell: -75.8
N(E_F) in states/eV/cell: 0.00